## Sr2VTcO6 (PBE+U)

Data for a relaxed Sr2VTcO6 crystal.

**Calculated density**: 5.65 g/cm3
**Space group**: P-1
**Final energy**: -147.430 eV per cell

Cell: 5.6387 5.6263 7.7814 Å, 90.00 90.09 90.00°
Closest atoms and distances in Å follow each position.
Sites, in units of the cell vectors:
1 Sr 0.0007 0.0004 0.2519  12 O 2.67-2.97
2 Sr 0.5008 0.4996 0.7480  12 O 2.67-2.96
3 Sr 0.9993 0.9996 0.7481  12 O 2.67-2.97
4 Sr 0.4992 0.5004 0.2520  12 O 2.67-2.96
5 V 0.5000 0.0000 0.0000  6 O 1.91-2.00
6 V 0.0000 0.5000 0.5000  6 O 1.92-1.99
7 Tc 0.5000 0.0000 0.5000  6 O 1.99-2.00
8 Tc 0.0000 0.5000 0.0000  6 O 1.99
9 O 0.2492 0.7507 0.0142  1 Tc 1.99, 1 V 2.00
10 O 0.7498 0.7486 0.5145  1 V 1.99, 1 Tc 2.00
11 O 0.7508 0.2493 0.9858  1 Tc 1.99, 1 V 2.00
12 O 0.2502 0.2514 0.4855  1 V 1.99, 1 Tc 2.00
13 O 0.2488 0.7500 0.4855  1 V 1.99, 1 Tc 2.00
14 O 0.7494 0.7492 0.9858  1 Tc 1.99, 1 V 2.00
15 O 0.7512 0.2500 0.5145  1 V 1.99, 1 Tc 2.00
16 O 0.2506 0.2508 0.0142  1 Tc 1.99, 1 V 2.00
17 O 0.9735 0.4999 0.2544  1 V 1.92, 1 Tc 1.99
18 O 0.4728 0.0001 0.7555  1 V 1.91, 1 Tc 1.99
19 O 0.0265 0.5001 0.7456  1 V 1.92, 1 Tc 1.99
20 O 0.5272 0.9999 0.2445  1 V 1.91, 1 Tc 1.99